First-principles (PBE-GGA) data for a relaxed SmScGe2Os crystal, as listed in Alexandria via LeMat-Bulk.

Structure (POSCAR):
```
SmScGe2Os
1.0
4.091 0.000 0.000
0.000 4.091 0.000
-2.046 -2.046 5.835
Sm Sc Ge Os
1 1 2 1
direct
0.000 0.000 0.000
0.250 0.750 0.500
0.608 0.608 0.215
0.392 0.392 0.785
0.750 0.250 0.500
```

Calculated values
- volume (Å³/cell) = 97.7
- electronic total energy (eV/atom) = -6.95



First-principles (PBE-GGA) data for a relaxed Pm6PrY2 crystal, as listed in Alexandria via LeMat-Bulk.

Structure (POSCAR):
```
Pm6PrY2
1.0
-1.836 5.874 -1.177
-2.052 -2.036 -6.980
-7.024 -2.454 -1.309
Pm Pr Y
6 1 2
direct
0.294 0.375 0.813
0.294 0.812 0.812
0.294 0.813 0.375
0.706 0.625 0.187
0.706 0.188 0.188
0.706 0.187 0.625
0.000 0.000 0.000
0.788 0.667 0.667
0.212 0.333 0.333
```

Calculated values
- volume (Å³/cell) = 309.7
- energy relative to the lowest polymorph listed for this composition (meV/atom) = 144